No. 1
Entry from the Alexandria database: La4AlZn after structural relaxation (PBE-GGA).

Geometry as POSCAR:
```
La4AlZn
1.0
-2.747 1.896 -2.095
0.568 -1.914 -6.183
-7.320 -2.811 3.346
La Zn Al
4 1 1
Direct
0.827 0.526 0.820 La
0.318 0.040 0.324 La
0.173 0.474 0.180 La
0.682 0.960 0.676 La
0.500 0.500 0.500 Zn
0.000 0.000 0.000 Al
```

Calculated values
- Space group: No. 12
- Energy relative to the elements: -0.208 eV per atom
- Size of the total moment: 0.00 Bohr magnetons per cell
- ΔE to the lowest computed polymorph: 0 meV/atom


No. 2
Entry from the Alexandria database: LiOsBr3 after structural relaxation (PBE-GGA).

Geometry as POSCAR:
```
LiOsBr3
1.0
-3.015 3.432 -2.401
-3.884 -3.398 0.022
-1.566 1.820 4.568
Li Br Os
1 3 1
Direct
0.500 0.500 0.500 Li
0.500 0.000 0.000 Br
0.000 0.000 0.500 Br
0.000 0.500 0.000 Br
0.000 0.000 0.000 Os
```

Calculated values
- E_form (uncorrected): 89 meV/atom
- Space group: No. 221
- Size of the total moment: 1.59 Bohr magnetons per cell
- ΔE to the lowest computed polymorph: 0 meV/atom


No. 3
Entry from the Alexandria database: Cs2K3Na4 after structural relaxation (PBE-GGA).

Geometry as POSCAR:
```
Cs2K3Na4
1.0
10.635 0.000 0.000
-3.491 10.207 0.000
0.000 0.000 10.769
Cs Na K
4 8 6
Direct
0.939 0.814 0.834 Cs
0.561 0.186 0.334 Cs
0.439 0.814 0.666 Cs
0.061 0.186 0.166 Cs
0.627 0.505 0.624 Na
0.127 0.505 0.876 Na
0.873 0.495 0.124 Na
0.628 0.922 0.041 Na
0.372 0.078 0.959 Na
0.872 0.078 0.541 Na
0.373 0.495 0.376 Na
0.128 0.922 0.459 Na
0.250 0.751 0.173 K
0.750 0.249 0.827 K
0.500 0.500 0.000 K
0.750 0.751 0.327 K
0.000 0.500 0.500 K
0.250 0.249 0.673 K
```

Calculated values
- Space group: No. 14
- Energy relative to the elements: 0.028 eV per atom
- Size of the total moment: 0.00 Bohr magnetons per cell